Compound: Ac5PrMg6
Source: Alexandria via LeMat-Bulk
Functional: PBE-GGA
Structure: relaxed

abc: 5.7746 8.1655 9.1300
angles: 90.00 71.56 90.00
Closest atoms and distances in Å follow each position.
Positions (direct):
1 Ac 0.6682 0.5000 0.6635  8 Mg 3.57-3.60
2 Ac 0.3330 0.0000 0.3341  8 Mg 3.50-3.56
3 Mg 0.8373 0.7559 0.3255  1 Pr 3.45, 7 Ac 3.51-3.60
4 Mg 0.5000 0.2410 0.0000  2 Pr 3.49, 6 Ac 3.50-3.60
5 Ac 0.6670 0.0000 0.6659  8 Mg 3.50-3.56
6 Mg 0.1627 0.2441 0.6745  1 Pr 3.45, 7 Ac 3.51-3.60
7 Mg 0.1627 0.7559 0.6745  1 Pr 3.45, 7 Ac 3.51-3.60
8 Mg 0.5000 0.7590 0.0000  2 Pr 3.49, 6 Ac 3.50-3.60
9 Ac 0.3318 0.5000 0.3365  8 Mg 3.57-3.60
10 Ac 0.0000 0.5000 0.0000  8 Mg 3.51-3.58
11 Pr 0.0000 0.0000 0.0000  8 Mg 3.45-3.49
12 Mg 0.8373 0.2441 0.3255  1 Pr 3.45, 7 Ac 3.51-3.60

The calculation puts the total energy at -35.90 eV for the cell shown. The total magnetization is 0.000 Bohr magnetons per cell. The density of states at the Fermi level comes out at 13.22 states/eV/f.u. The energy of formation from the pure elements is -0.084 eV per atom.